CsCdF2: PBEsol geometry, meta-GGA SCAN.

Results
Its space group is R-3m (166). Its crystal system is trigonal. Its density of states at the Fermi level is 1.69 states/eV/cell. The calculation puts the raw formation energy at -1734 meV/atom. The calculation puts the total magnetization at 0.1 Bohr magnetons per cell.

Cell lengths 7.8355, 7.8355, 7.8355 Å; angles 28.29, 28.29, 28.29 degrees
Sites, in units of the cell vectors:
Cs: 0.0000 0.0000 0.0000
Cd: 0.5000 0.5000 0.5000
F: 0.1208 0.1208 0.1208
F: 0.8792 0.8792 0.8792